i.
CePO5 | PBE | relaxed

Cell: 5.2398 5.2398 7.1828 Å, 69.99 69.99 72.47°
Site moments in Bohr magnetons follow the coordinates.
Fractional coordinates of all 14 atoms:
O 0.0662 0.9338 0.7500  0.20
O 0.7219 0.2607 0.9683  0.11
Ce 0.5451 0.4549 0.2500  -0.03
O 0.9338 0.0662 0.2500  0.20
O 0.7743 0.7990 0.6080  0.20
O 0.2257 0.2010 0.3920  0.20
O 0.2607 0.7219 0.4683  0.11
O 0.7990 0.7743 0.1080  0.20
P 0.0000 0.0000 0.5000  -0.01
O 0.7393 0.2781 0.5317  0.11
P 0.0000 0.0000 0.0000  -0.01
O 0.2781 0.7393 0.0317  0.11
Ce 0.4549 0.5451 0.7500  -0.03
O 0.2010 0.2257 0.8920  0.20

Computed properties:
The calculation puts the total moment at 0.1285 μB/atom. As for the density of states at the Fermi level: 0.404 states/eV per atom.



ii.
CePO5 | PBE | relaxed

Cell: 4.2287 7.1918 7.1918 Å, 90.00 90.00 90.00°
Site moments in Bohr magnetons follow the coordinates.
Fractional coordinates of all 14 atoms:
Ce 0.2617 0.5000 0.0000  0.01
O 0.7063 0.6774 0.5000  0.18
O 0.2937 0.1774 0.0000  0.18
O 0.7650 0.5000 0.0000  0.11
O 0.7063 0.0000 0.8226  0.18
P 0.5000 0.5000 0.5000  -0.02
P 0.5000 0.0000 0.0000  -0.02
O 0.2350 0.0000 0.5000  0.11
O 0.7063 0.3226 0.5000  0.18
O 0.2937 0.5000 0.3226  0.18
Ce 0.7383 0.0000 0.5000  0.01
O 0.2937 0.8226 0.0000  0.18
O 0.2937 0.5000 0.6774  0.18
O 0.7063 0.0000 0.1774  0.18

Computed properties:
The calculation puts the total moment at 0.1387 μB/atom. As for the density of states at the Fermi level: 0.873 states/eV per atom.



Q: Which of them is the most stable? A: ii.



i.
Ce2PbO | PBE | relaxed

Cell: 4.8179 7.2580 10.8889 Å, 90.00 90.00 90.00°
Site moments in Bohr magnetons follow the coordinates.
Fractional coordinates of all 16 atoms:
Pb 0.2500 0.8419 0.8756  -0.04
O 0.7500 0.9313 0.6172  -0.03
Ce 0.2500 0.8650 0.5568  0.88
Ce 0.2500 0.3893 0.2924  0.69
Ce 0.7500 0.6350 0.0568  0.88
O 0.2500 0.0687 0.3828  -0.03
Ce 0.7500 0.6107 0.7076  0.69
Ce 0.2500 0.3650 0.9432  0.88
Ce 0.2500 0.8893 0.2076  0.69
Pb 0.7500 0.1581 0.1244  -0.04
Ce 0.7500 0.1107 0.7924  0.69
Ce 0.7500 0.1350 0.4432  0.88
O 0.2500 0.5687 0.1172  -0.03
O 0.7500 0.4313 0.8828  -0.03
Pb 0.2500 0.3419 0.6244  -0.04
Pb 0.7500 0.6581 0.3756  -0.04

Computed properties:
The calculation puts the total moment at 0.4338 μB/atom. As for the density of states at the Fermi level: 2.952 states/eV per atom.



ii.
Ce2PbO | PBE | relaxed

Cell: 3.2433 3.2433 8.0918 Å, 90.00 90.00 90.00°
Site moments in Bohr magnetons follow the coordinates.
Fractional coordinates of all 4 atoms:
Pb 0.5000 0.5000 0.5000  -0.03
O 0.5000 0.5000 0.0000  -0.02
Ce 0.0000 0.0000 0.1889  1.05
Ce 0.0000 0.0000 0.8111  1.05

Computed properties:
The calculation puts the total moment at 0.6300 μB/atom. As for the density of states at the Fermi level: 2.675 states/eV per atom.



iii.
Ce2PbO | PBE | relaxed

Cell: 4.1389 4.1389 11.4633 Å, 100.38 100.38 90.11°
Site moments in Bohr magnetons follow the coordinates.
Fractional coordinates of all 8 atoms:
Ce 0.3019 0.3019 0.6027  0.43
Pb 0.1162 0.1162 0.2309  -0.01
O 0.2508 0.7508 0.5000  -0.02
Pb 0.8853 0.8853 0.7691  -0.01
Ce 0.9899 0.5057 0.0000  -0.21
Ce 0.5057 0.9899 0.0000  -0.21
Ce 0.6991 0.6991 0.3973  0.43
O 0.7508 0.2508 0.5000  -0.02

Computed properties:
The calculation puts the total moment at 0.0379 μB/atom. As for the density of states at the Fermi level: 1.810 states/eV per atom.



Q: Which of them is the most stable? A: i.



i.
Ce2PbO | PBE | relaxed

Cell: 3.6212 3.6212 8.4495 Å, 77.63 77.63 60.00°
Site moments in Bohr magnetons follow the coordinates.
Fractional coordinates of all 4 atoms:
Ce 0.0563 0.0563 0.8312  0.69
Ce 0.2778 0.2778 0.1666  0.82
Pb 0.4997 0.4997 0.5010  -0.01
O 0.6663 0.6663 0.0011  -0.02

Computed properties:
The calculation puts the total moment at 0.4797 μB/atom. As for the density of states at the Fermi level: 2.061 states/eV per atom.



ii.
Ce2PbO | PBE | relaxed

Cell: 3.6449 3.6449 8.3062 Å, 77.33 77.33 60.00°
Site moments in Bohr magnetons follow the coordinates.
Fractional coordinates of all 4 atoms:
Ce 0.7773 0.7773 0.6682  0.60
O 0.5000 0.5000 0.5000  -0.02
Ce 0.2227 0.2227 0.3318  0.60
Pb 0.0000 0.0000 0.0000  -0.01

Computed properties:
The calculation puts the total moment at 0.3501 μB/atom. As for the density of states at the Fermi level: 2.219 states/eV per atom.



Q: Which of them is the most stable? A: ii.



i.
Ce5Pb3O | PBE | relaxed

Cell: 6.3622 9.4282 9.4282 Å, 120.00 90.00 90.00°
Site moments in Bohr magnetons follow the coordinates.
Fractional coordinates of all 18 atoms:
Ce 0.2500 0.2175 0.0000  0.88
Ce 0.7500 0.2175 0.2175  0.88
O 0.0000 0.0000 0.0000  -0.04
Pb 0.7500 0.3966 0.0000  -0.04
Pb 0.2500 0.6034 0.0000  -0.04
Ce 0.5000 0.6667 0.3333  0.92
Pb 0.2500 0.3966 0.3966  -0.04
Pb 0.7500 0.6034 0.6034  -0.04
Ce 0.7500 0.0000 0.7825  0.88
Ce 0.5000 0.3333 0.6667  0.92
Ce 0.7500 0.7825 0.0000  0.88
Ce 0.2500 0.0000 0.2175  0.88
O 0.5000 0.0000 0.0000  -0.04
Pb 0.7500 0.0000 0.3966  -0.04
Ce 0.0000 0.3333 0.6667  0.92
Pb 0.2500 0.0000 0.6034  -0.04
Ce 0.0000 0.6667 0.3333  0.92
Ce 0.2500 0.7825 0.7825  0.88

Computed properties:
The calculation puts the total moment at 0.6088 μB/atom. As for the density of states at the Fermi level: 3.024 states/eV per atom.



ii.
Ce5Pb3O | PBE | relaxed

Cell: 9.3267 9.3267 9.3267 Å, 125.46 125.46 80.78°
Site moments in Bohr magnetons follow the coordinates.
Fractional coordinates of all 18 atoms:
Ce 0.8109 0.3109 0.8129  0.97
Pb 0.8579 0.3579 0.2158  -0.05
Pb 0.1421 0.6421 0.7842  -0.05
Pb 0.7500 0.7500 0.0000  -0.06
Ce 0.4980 0.9980 0.1871  0.97
Ce 0.3109 0.4980 0.5000  0.97
Pb 0.2500 0.2500 0.0000  -0.06
Ce 0.5020 0.0020 0.8129  0.97
Ce 0.1891 0.6891 0.1871  0.97
Pb 0.6421 0.8579 0.5000  -0.05
Ce 0.5000 0.5000 0.0000  0.92
Ce 0.6891 0.5020 0.5000  0.97
Ce 0.0020 0.1891 0.5000  0.97
O 0.7500 0.2500 0.5000  -0.03
O 0.2500 0.7500 0.5000  -0.03
Pb 0.3579 0.1421 0.5000  -0.05
Ce 0.0000 0.0000 0.0000  0.92
Ce 0.9980 0.8109 0.5000  0.97

Computed properties:
The calculation puts the total moment at 0.6800 μB/atom. As for the density of states at the Fermi level: 3.340 states/eV per atom.



Q: Which of them is the most stable? A: ii.